1.
DFT (PBE-GGA) results for ThCuAu2 after structural relaxation.

Results
Space group: No. 62
Calculated formation energy in eV/atom: -0.5136
Final energy in Ha/atom: -0.18490
Distance to the lowest polymorph of the same formula in meV/atom: 0

a b c (Å): 5.4480 7.4873 7.9441
angles (deg): 90.00 90.00 90.00
Element x y z (fractional)
Th  0.3767  0.2500  0.0463
Th  0.8767  0.7500  0.4537
Th  0.6233  0.7500  0.9537
Th  0.1233  0.2500  0.5463
Cu  0.6261  0.2500  0.3923
Cu  0.1261  0.7500  0.1077
Cu  0.3739  0.7500  0.6077
Cu  0.8739  0.2500  0.8923
Au  0.8976  0.0545  0.1824
Au  0.3976  0.9455  0.3176
Au  0.1024  0.5545  0.8176
Au  0.6024  0.4455  0.6824
Au  0.1024  0.9455  0.8176
Au  0.6024  0.0545  0.6824
Au  0.8976  0.4455  0.1824
Au  0.3976  0.5545  0.3176

2.
DFT (PBE-GGA) results for LiVMo3 after structural relaxation.

Results
Space group: No. 221
Calculated formation energy in eV/atom: 1.3264
Final energy in Ha/atom: -0.27117
Distance to the lowest polymorph of the same formula in meV/atom: 25

a b c (Å): 4.2154 4.2154 4.2154
angles (deg): 90.00 90.00 90.00
Last column: magnetic moment on the atom in μB.
Element x y z (fractional)
Mo  0.0000  0.5000  0.0000  0.00
Mo  0.0000  0.0000  0.5000  0.00
Mo  0.5000  0.0000  0.0000  0.00
V  0.5000  0.5000  0.5000  0.12
Li  0.0000  0.0000  0.0000  0.00

3.
DFT (PBE-GGA) results for Ce4Tl after structural relaxation.

Results
Space group: No. 14
Calculated formation energy in eV/atom: 0.1674
Final energy in Ha/atom: -0.18569
Distance to the lowest polymorph of the same formula in meV/atom: 236

a b c (Å): 5.4244 7.0243 8.1863
angles (deg): 101.45 90.00 90.00
Last column: magnetic moment on the atom in μB.
Element x y z (fractional)
Ce  0.3468  0.2680  0.2395  0.55
Ce  0.8468  0.7320  0.2605  0.55
Ce  0.6532  0.7320  0.7605  0.55
Ce  0.1532  0.2680  0.7395  0.55
Ce  0.7971  0.4071  0.5378  0.51
Ce  0.2971  0.5929  0.9622  0.51
Ce  0.2029  0.5929  0.4622  0.51
Ce  0.7029  0.4071  0.0378  0.51
Tl  0.0000  0.0000  0.0000  0.01
Tl  0.5000  0.0000  0.5000  0.01

4.
DFT (PBE-GGA) results for V5SiTc6 after structural relaxation.

Results
Space group: No. 71
Final energy in Ha/atom: -0.36178
ΔE_f (raw) in meV per atom: -410

a b c (Å): 4.2704 6.0308 7.3827
angles (deg): 114.11 106.81 90.00
Element x y z (fractional)
Si  0.0000  0.0000  0.0000
Tc  0.8328  0.5825  0.6655
Tc  0.8328  0.0830  0.6655
Tc  0.5000  0.7481  0.0000
Tc  0.5000  0.2519  0.0000
Tc  0.1672  0.9170  0.3345
Tc  0.1672  0.4175  0.3345
V  0.6635  0.1635  0.3271
V  0.3323  0.3323  0.6646
V  0.0000  0.5000  0.0000
V  0.6677  0.6677  0.3354
V  0.3365  0.8365  0.6729

5.
DFT (PBE-GGA) results for LiV2CrAg after structural relaxation.

Results
Space group: No. 123
Calculated formation energy in eV/atom: 1.8192
Final energy in Ha/atom: -0.17294

a b c (Å): 4.7381 4.0259 4.7381
angles (deg): 90.00 90.00 90.00
Last column: magnetic moment on the atom in μB.
Element x y z (fractional)
Cr  0.5000  0.5000  0.5000  0.39
Li  0.0000  0.5000  0.0000  -0.01
Ag  0.0000  0.0000  0.0000  0.01
V  0.0000  0.0000  0.5000  0.38
V  0.5000  0.0000  0.0000  0.40

6.
DFT (PBE-GGA) results for K2In4BiPb3 after structural relaxation.

Results
Space group: No. 115
Calculated formation energy in eV/atom: -0.0977
Final energy in Ha/atom: -0.10706

a b c (Å): 5.2699 5.2699 12.7479
angles (deg): 90.00 90.00 90.00
Element x y z (fractional)
K  0.5000  0.0000  0.2465
K  0.0000  0.5000  0.7535
In  0.5000  0.5000  0.0000
In  0.0000  0.0000  0.0000
In  0.5000  0.0000  0.6347
In  0.0000  0.5000  0.3653
Bi  0.5000  0.5000  0.5000
Pb  0.0000  0.0000  0.5000
Pb  0.5000  0.0000  0.8717
Pb  0.0000  0.5000  0.1283

7.
DFT (PBE-GGA) results for Ti2MnNbH after structural relaxation.

Results
Space group: No. 123
Final energy in Ha/atom: -0.28497
Distance to the lowest polymorph of the same formula in meV/atom: 0

a b c (Å): 4.3717 4.3717 3.3553
angles (deg): 90.00 90.00 90.00
Last column: magnetic moment on the atom in μB.
Element x y z (fractional)
H  0.0000  0.0000  0.0000  0.00
Nb  0.5000  0.5000  0.5000  0.01
Mn  0.0000  0.0000  0.5000  1.13
Ti  0.0000  0.5000  0.0000  -0.16
Ti  0.5000  0.0000  0.0000  -0.16

8.
DFT (PBE-GGA) results for SnPPtO after structural relaxation.

Results
Space group: No. 6
Final energy in Ha/atom: -0.21299
Distance to the lowest polymorph of the same formula in meV/atom: 119
ΔE_f (raw) in meV per atom: -693

a b c (Å): 4.9222 3.4222 5.6878
angles (deg): 90.00 105.95 90.00
Element x y z (fractional)
Sn  0.4644  0.5000  0.2475
P  0.7239  0.5000  0.9046
Pt  0.5991  0.0000  0.6328
O  0.0252  0.5000  0.0929

| no. | theoretical density (g/cm3) | total magnetic moment (Bohr magnetons per cell) | DOS at the Fermi energy (states/eV per cell) |
| --- | --- | --- | --- |
| 1 | 14.1 | 0.000 | 8.1 |
| 2 | 7.7 | 0.135 | 7.5 |
| 3 | 8.3 | 4.889 | 28.8 |
| 4 | 8.8 | 0.000 | 8.8 |
| 5 | 4.9 | 1.382 | 7.0 |
| 6 | 6.4 | 0.000 | 5.2 |
| 7 | 6.3 | 0.778 | 7.3 |
| 8 | 6.5 | 0.000 | 1.0 |